Entry 1:
The following is a DFT calculation (PBE) of an optimized crystal structure of MnTc3Ge.

The value obtained for the relative energy among the computed polymorphs is 0 meV/atom. Its density of states at the Fermi level is 7.975 states/eV/f.u. The calculation puts the energy of formation at 1.197 eV per atom.

The space group is Pm-3m (No. 221) and the conventional cell measures 4.465, 4.465 and 4.465 Å, with angles of 90.00, 90.00 and 90.00 degrees. The distinct sites, in fractional coordinates, are Mn at (0.000, 0.000, 0.000), Tc at (0.000, 0.000, 0.500) and Ge at (0.500, 0.500, 0.500).

=====

Entry 2:
The following is a DFT calculation (PBE) of an optimized crystal structure of Mn6Tc2Ge3.

Its density of states at the Fermi level is 10.799 states/eV/f.u. The calculation puts the energy of formation at 0.190 eV per atom.

The space group is C2/m (No. 12) and the conventional cell measures 26.371, 3.431 and 3.424 Å, with angles of 90.00, 97.40 and 90.00 degrees. The distinct sites, in fractional coordinates, are Mn at (0.123, 0.000, 0.123), Mn at (0.123, 0.500, 0.623), Mn at (0.214, 0.000, 0.714), Tc at (0.053, 0.000, 0.554), Ge at (0.000, 0.500, 0.000) and Ge at (0.191, 0.500, 0.191).

=====

Entry 3:
The following is a DFT calculation (PBE) of an optimized crystal structure of Mn2Tc2Ge.

Its density of states at the Fermi level is 5.411 states/eV/f.u. The calculation puts the energy of formation at 0.292 eV per atom.

The space group is P4/mbm (No. 127) and the conventional cell measures 7.123, 7.123 and 2.761 Å, with angles of 90.00, 90.00 and 90.00 degrees. The distinct sites, in fractional coordinates, are Mn at (0.133, 0.367, 0.000), Tc at (0.155, 0.655, 0.500) and Ge at (0.000, 0.000, 0.500).

=====

Entry 4:
The following is a DFT calculation (PBE) of an optimized crystal structure of MnTcGe.

The value obtained for the relative energy among the computed polymorphs is 0 meV/atom. Its density of states at the Fermi level is 2.289 states/eV/f.u. The calculation puts the energy of formation at -0.034 eV per atom.

The space group is F-43m (No. 216) and the conventional cell measures 5.616, 5.616 and 5.616 Å, with angles of 90.00, 90.00 and 90.00 degrees. The distinct sites, in fractional coordinates, are Mn at (0.000, 0.000, 0.000), Tc at (0.250, 0.250, 0.750) and Ge at (0.250, 0.250, 0.250).

=====

Entry 5:
The following is a DFT calculation (PBE) of an optimized crystal structure of MnTcGe.

The value obtained for the relative energy among the computed polymorphs is 49 meV/atom. Its density of states at the Fermi level is 2.669 states/eV/f.u. The calculation puts the energy of formation at 0.015 eV per atom.

The space group is P-6m2 (No. 187) and the conventional cell measures 4.0890, 4.0890 and 2.7565 Å, with angles of 90.00, 90.00 and 120.00 degrees. The distinct sites, in fractional coordinates, are Mn at (0.0000, 0.0000, 0.0000), Tc at (0.3333, 0.6667, 0.5000) and Ge at (0.6667, 0.3333, 0.0000).

=====

Entry 6:
The following is a DFT calculation (PBE) of an optimized crystal structure of MnTc3Ge.

The value obtained for the relative energy among the computed polymorphs is 478 meV/atom. Its density of states at the Fermi level is 9.584 states/eV/f.u. The calculation puts the energy of formation at 1.675 eV per atom.

The space group is Pm-3m (No. 221) and the conventional cell measures 4.469, 4.469 and 4.469 Å, with angles of 90.00, 90.00 and 90.00 degrees. The distinct sites, in fractional coordinates, are Mn at (0.000, 0.000, 0.000), Tc at (0.000, 0.500, 0.500) and Ge at (0.500, 0.500, 0.500).

=====

Entry 7:
The following is a DFT calculation (PBE) of an optimized crystal structure of MnTcGe.

The value obtained for the relative energy among the computed polymorphs is 104 meV/atom. Its density of states at the Fermi level is 2.582 states/eV/f.u. The calculation puts the energy of formation at 0.070 eV per atom.

The space group is P-1 (No. 2) and the conventional cell measures 2.994, 4.222 and 6.437 Å, with angles of 89.94, 76.63 and 89.88 degrees. The distinct sites, in fractional coordinates, are Mn at (0.089, 0.250, 0.325), Tc at (0.242, 0.750, 0.016) and Ge at (0.425, 0.250, 0.649).

=====

Entry 8:
The following is a DFT calculation (PBE) of an optimized crystal structure of ThMnTcGe3.

Its density of states at the Fermi level is 4.431 states/eV/f.u. The calculation puts the energy of formation at -0.114 eV per atom.

The space group is Cmcm (No. 63) and the conventional cell measures 7.613, 10.606 and 5.886 Å, with angles of 90.00, 90.00 and 90.00 degrees. The distinct sites, in fractional coordinates, are Th at (0.000, 0.243, 0.250), Mn at (0.000, 0.030, 0.750), Tc at (0.000, 0.461, 0.750), Ge at (0.000, 0.240, 0.750) and Ge at (0.241, 0.000, 0.000).

=====

Entry 9:
The following is a DFT calculation (PBE) of an optimized crystal structure of TmMnTcGe3.

Its density of states at the Fermi level is 3.283 states/eV/f.u. The calculation puts the energy of formation at -0.073 eV per atom.

The space group is Cmcm (No. 63) and the conventional cell measures 7.853, 10.654 and 5.596 Å, with angles of 90.00, 90.00 and 90.00 degrees. The distinct sites, in fractional coordinates, are Tm at (0.000, 0.246, 0.250), Mn at (0.000, 0.032, 0.750), Tc at (0.000, 0.457, 0.750), Ge at (0.000, 0.239, 0.750) and Ge at (0.241, 0.000, 0.000).

=====

Entry 10:
The following is a DFT calculation (PBE) of an optimized crystal structure of UMnTcGe.

Its density of states at the Fermi level is 7.238 states/eV/f.u. The calculation puts the energy of formation at -0.041 eV per atom.

The space group is F-43m (No. 216) and the conventional cell measures 6.364, 6.364 and 6.364 Å, with angles of 90.00, 90.00 and 90.00 degrees. The distinct sites, in fractional coordinates, are U at (0.000, 0.000, 0.000), Mn at (0.250, 0.250, 0.750), Tc at (0.250, 0.250, 0.250) and Ge at (0.000, 0.000, 0.500).

=====

Entry 11:
The following is a DFT calculation (PBE) of an optimized crystal structure of YMnTcGe2.

Its density of states at the Fermi level is 4.151 states/eV/f.u. The calculation puts the energy of formation at -0.480 eV per atom.

The space group is I-4m2 (No. 119) and the conventional cell measures 4.038, 4.038 and 10.904 Å, with angles of 90.00, 90.00 and 90.00 degrees. The distinct sites, in fractional coordinates, are Y at (0.000, 0.000, 0.000), Mn at (0.000, 0.500, 0.250), Tc at (0.000, 0.500, 0.750) and Ge at (0.000, 0.000, 0.383).

=====

Entry 12:
The following is a DFT calculation (PBE) of an optimized crystal structure of MnZnTcGe.

Its density of states at the Fermi level is 2.479 states/eV/f.u. The calculation puts the energy of formation at 0.027 eV per atom.

The space group is F-43m (No. 216) and the conventional cell measures 6.055, 6.055 and 6.055 Å, with angles of 90.00, 90.00 and 90.00 degrees. The distinct sites, in fractional coordinates, are Mn at (0.000, 0.000, 0.000), Zn at (0.250, 0.250, 0.750), Tc at (0.000, 0.000, 0.500) and Ge at (0.250, 0.250, 0.250).

=====

Q: Which of these has the lowest energy of formation?
A: YMnTcGe2